# 1
Computed, not measured: a geometry-optimized CdAgSeO structure at the PBE level of DFT.

The structure in POSCAR format:
```
CdAgSeO
1.0
-4.7577 -3.9345 2.3864
2.3141 -2.7123 0.1418
3.1696 3.3208 11.7942
Cd O Ag Se
4 4 4 4
Direct
0.9564 0.7500 0.7479
0.4564 0.7500 0.7521
0.0436 0.2500 0.2521
0.5436 0.2500 0.2479
0.7909 0.2500 0.3589
0.2091 0.7500 0.6411
0.2909 0.2500 0.1411
0.7091 0.7500 0.8589
0.7333 0.2500 0.9672
0.7667 0.7500 0.4672
0.2333 0.2500 0.5328
0.2667 0.7500 0.0328
0.7123 0.2500 0.6128
0.7877 0.7500 0.1128
0.2123 0.2500 0.8872
0.2877 0.7500 0.3872
```

Calculated values
Space-group type: No. 62
Theoretical density in g/cm³: 7.01
Total DFT energy (no corrections) in eV/atom: -3.40
Distance to the lowest polymorph of the same formula in meV per atom: 31

=====

# 2
Computed, not measured: a geometry-optimized CdAgSeO structure at the PBE level of DFT.

The structure in POSCAR format:
```
CdAgSeO
1.0
-3.5029 0.0000 0.0000
0.0000 0.0000 -5.8994
-1.7514 -6.8657 0.0000
Cd Se Ag O
2 2 2 2
Direct
0.1220 0.7500 0.7561
0.8780 0.2500 0.2439
0.2232 0.2500 0.5535
0.7768 0.7500 0.4465
0.5732 0.2500 0.8537
0.4268 0.7500 0.1463
0.0000 0.5000 0.0000
0.0000 0.0000 0.0000
```

Calculated values
Space-group type: No. 63
Theoretical density in g/cm³: 7.38
Total DFT energy (no corrections) in eV/atom: -3.20
Distance to the lowest polymorph of the same formula in meV per atom: 224